1.
This record from Alexandria describes crystalline SrCuGe2 at its relaxed geometry. The functional is PBE-GGA.

Summary:
Formation enthalpy at 0 K in eV per atom: -0.188
ρ in Mg/m³: 4.8
Total magnetic moment in μB/cell: 0.0

Cell: 4.9662 4.9662 16.5672 Å, 90.00 90.00 90.00°
Closest atoms and distances in Å follow each position.
Space group I-42d (No. 122)
One atom of each set of equivalent atoms:
Sr (0.0000, 0.0000, 0.0000)  8 Ge 3.33-3.60, 4 Cu 3.51
Cu (0.0000, 0.0000, 0.5000)  4 Ge 2.42
Ge (0.0384, 0.2500, 0.6250)  2 Cu 2.42, 2 Ge 2.51

***

2.
This record from Alexandria describes crystalline SrCuGe2 at its relaxed geometry. The functional is PBE-GGA.

Summary:
Formation enthalpy at 0 K in eV per atom: -0.341
ρ in Mg/m³: 5.7
Total magnetic moment in μB/cell: 0.0

Cell: 4.1541 4.1541 17.4816 Å, 90.00 90.00 120.00°
Closest atoms and distances in Å follow each position.
Space group R-3m (No. 166, hexagonal axes)
One atom of each set of equivalent atoms:
Sr (0.0000, 0.0000, 0.0000)  6 Ge 3.18
Cu (0.0000, 0.0000, 0.5000)  6 Ge 2.53
Ge (0.0000, 0.0000, 0.2135)  3 Cu 2.53

***

3.
This record from Alexandria describes crystalline SrCuGe at its relaxed geometry. The functional is PBE-GGA.

Summary:
Formation enthalpy at 0 K in eV per atom: -0.417
ρ in Mg/m³: 5.2
Total magnetic moment in μB/cell: 0.0

Cell: 4.2094 4.2094 4.6593 Å, 90.00 90.00 120.00°
Closest atoms and distances in Å follow each position.
Space group P-6m2 (No. 187)
One atom of each set of equivalent atoms:
Sr (0.0000, 0.0000, 0.0000)  6 Cu 3.37, 6 Ge 3.37
Cu (0.3333, 0.6667, 0.5000)  3 Ge 2.43
Ge (0.6667, 0.3333, 0.5000)  3 Cu 2.43

***

4.
This record from Alexandria describes crystalline SrCu12Ge7 at its relaxed geometry. The functional is PBE-GGA.

Summary:
Formation enthalpy at 0 K in eV per atom: 0.052
ρ in Mg/m³: 7.4
Total magnetic moment in μB/cell: 0.0

Cell: 12.8619 12.8619 6.4244 Å, 90.00 90.00 120.00°
Closest atoms and distances in Å follow each position.
Space group R-3m (No. 166, hexagonal axes)
One atom of each set of equivalent atoms:
Sr (0.0000, 0.0000, 0.0000)  12 Cu 3.15-3.42, 8 Ge 3.21-3.28
Cu (0.0000, 0.2655, 0.0000)  4 Ge 2.53-2.64, 4 Cu 2.57-2.62
Cu (0.1058, 0.5529, 0.9579)  3 Cu 2.42-2.57, 3 Ge 2.57-2.58
Ge (0.0000, 0.0000, 0.5000)  6 Cu 2.87, 6 Ge 2.88
Ge (0.0990, 0.5495, 0.3574)  7 Cu 2.53-2.64

***

5.
This record from Alexandria describes crystalline Sr2Cu2Ge at its relaxed geometry. The functional is PBE-GGA.

Summary:
Formation enthalpy at 0 K in eV per atom: -0.118
ρ in Mg/m³: 5.1
Total magnetic moment in μB/cell: 0.0

Cell: 3.6063 3.6063 18.7611 Å, 90.00 90.00 90.00°
Closest atoms and distances in Å follow each position.
Space group I4/mmm (No. 139)
One atom of each set of equivalent atoms:
Sr (0.0000, 0.0000, 0.1087)  4 Cu 3.21, 4 Ge 3.27
Cu (0.0000, 0.5000, 0.2500)  4 Cu 2.55
Ge (0.0000, 0.0000, 0.5000)  8 Sr 3.27, 4 Ge 3.61

***

6.
This record from Alexandria describes crystalline Sr2CuGe at its relaxed geometry. The functional is PBE-GGA.

Summary:
Formation enthalpy at 0 K in eV per atom: -0.252
ρ in Mg/m³: 4.6
Total magnetic moment in μB/cell: 0.0

Cell: 5.4736 5.4736 3.7130 Å, 90.00 90.00 90.00°
Closest atoms and distances in Å follow each position.
Space group P4/mmm (No. 123)
One atom of each set of equivalent atoms:
Sr (0.0000, 0.5000, 0.0000)  4 Ge 3.31, 4 Cu 3.31
Cu (0.0000, 0.0000, 0.5000)  8 Sr 3.31
Ge (0.5000, 0.5000, 0.5000)  8 Sr 3.31

***

no.,raw total energy (Ry/atom)
1,-0.2897
2,-0.3009
3,-0.2853
4,-0.3018
5,-0.2464
6,-0.2404